[1]
Tb8Rh5C12 after structural relaxation. Source: the Alexandria database, functional GGA-PBE.

Calculated density, g/cm3: 8.537
D(E_F), states/eV per cell: 9.10
Formation energy, kJ per mole of atoms: -37

```
data_Tb8Rh5C12
_chemical_formula_sum 'Tb16 Rh10 C24'
_symmetry_space_group_name_H-M 'C 1 2/m 1'
_symmetry_Int_Tables_number 12
_symmetry_space_group_name_Hall '-C 2y'
_cell_length_a 28.018
_cell_length_b 3.631
_cell_length_c 7.398
_cell_angle_alpha 90.00
_cell_angle_beta 93.85
_cell_angle_gamma 90.00
loop_
_atom_site_label
_atom_site_type_symbol
_atom_site_fract_x
_atom_site_fract_y
_atom_site_fract_z
Tb1 Tb 0.047 0.000 0.291
Tb2 Tb 0.087 0.000 0.826
Tb3 Tb 0.200 0.000 0.608
Tb4 Tb 0.206 0.000 0.120
Rh1 Rh 0.000 0.500 0.000
Rh2 Rh 0.109 0.500 0.486
Rh3 Rh 0.117 0.500 0.123
C1 C 0.023 0.500 0.753
C2 C 0.048 0.500 0.613
C3 C 0.159 0.500 0.887
C4 C 0.168 0.500 0.345
C5 C 0.207 0.500 0.868
C6 C 0.216 0.500 0.365
```


[2]
TcRh2C after structural relaxation. Source: the Alexandria database, functional GGA-PBE.

Calculated density, g/cm3: 8.313
D(E_F), states/eV per cell: 11.39
Formation energy, kJ per mole of atoms: 77

```
data_TcRh2C
_chemical_formula_sum 'Tc4 Rh8 C4'
_symmetry_space_group_name_H-M 'I -4 2 d'
_symmetry_Int_Tables_number 122
_symmetry_space_group_name_Hall 'I -4 2bw'
_cell_length_a 5.255
_cell_length_b 5.255
_cell_length_c 9.138
_cell_angle_alpha 90.00
_cell_angle_beta 90.00
_cell_angle_gamma 90.00
loop_
_atom_site_label
_atom_site_type_symbol
_atom_site_fract_x
_atom_site_fract_y
_atom_site_fract_z
Tc1 Tc 0.000 0.000 0.000
Rh1 Rh 0.170 0.250 0.625
C1 C 0.000 0.000 0.500
```